Compound: Ho7Tm12Pb
Source: Alexandria via LeMat-Bulk
Functional: PBE
Structure: optimized geometry

It has space group R-3 (No. 148, hexagonal axes), with a = 12.1015 Å, b = 12.1015 Å, c = 15.1641 Å, α = 90.00°, β = 90.00° and γ = 120.00°. The inequivalent atoms are Ho at (0.0000, 0.0000, 0.0000), Ho at (0.0177, 0.5760, 0.7037), Tm at (0.0333, 0.8456, 0.8097), Tm at (0.0701, 0.4752, 0.0887) and Pb at (0.0000, 0.0000, 0.5000).

The volume comes out at 32.05 Å³/atom. The total magnetic moment comes out at 0.023 μB/f.u. The density of states at the Fermi level is 113.04 states/eV per cell. Its formation energy is 0.1743 eV per atom.